Density functional theory data (PBE) for a geometry-optimized LiPmEuSn structure.

Results
- spin magnetization (μB/f.u.) = 7.52
- crystal system = cubic
- E (eV/atom) = -5.66

Unit cell a=7.6891 b=7.6891 c=7.6891 alpha=90.00 beta=90.00 gamma=90.00
With the nearest neighbours (Å) after each atom.
Space group F-43m (No. 216)
Inequivalent atoms, fractional coordinates:
1 Li 0.0000 0.0000 0.0000 (multiplicity 4)  4 Pm 3.33, 4 Eu 3.33
2 Pm 0.2500 0.2500 0.7500 (multiplicity 4)  4 Sn 3.33, 4 Li 3.33
3 Eu 0.2500 0.2500 0.2500 (multiplicity 4)  4 Sn 3.33, 4 Li 3.33
4 Sn 0.0000 0.0000 0.5000 (multiplicity 4)  4 Pm 3.33, 4 Eu 3.33